This record from the Alexandria database describes ZnFeCu2 after structural relaxation. The functional is GGA-PBE.

Geometry as POSCAR:
```
ZnFeCu2
1.0
-3.074 -0.370 -3.977
-2.912 -4.085 -0.491
1.314 4.108 2.608
Cu Fe Zn
2 1 1
direct
0.998 0.998 0.000
0.753 0.253 0.500
0.502 0.502 0.000
0.247 0.747 0.500
```

Results
* ρ: 8.21 g/cm³
* formation enthalpy at 0 K: 0.4 eV/f.u.
* space-group type: Imm2